4
Lattice="-0.183 -1.434 -2.547 0.310 -1.655 2.396 -10.464 -0.480 1.021" Properties=species:S:1:pos:R:3 comment="PBE-GGA TcSe2Cl, optimized geometry" raw_formation_energy_ev_per_fu=1.2 pbc="T T T"
Tc -2.552 -1.664 0.180
Se -4.641 -0.213 0.453
Se -0.591 -0.027 0.058
Cl -7.784 -1.904 0.691

=====

3
Lattice="4.311 0.009 -0.060 0.066 4.871 -0.001 1.617 1.999 4.525" Properties=species:S:1:pos:R:3 comment="PBE-GGA CaTeSe, optimized geometry" raw_formation_energy_ev_per_fu=-3.3 pbc="T T T"
Ca 4.465 5.727 3.874
Se 0.711 4.715 1.163
Te 2.238 3.297 3.387

=====

14
Lattice="4.776 0.000 0.000 0.000 6.666 -3.849 0.000 0.000 7.697" Properties=species:S:1:pos:R:3 comment="PBE-GGA ZnAg3Au3, optimized geometry" final_energy_ev_per_cell=-39.9 pbc="T T T"
Au 3.582 0.386 6.004
Au 1.194 1.660 -0.513
Au 1.194 6.281 -2.155
Au 1.194 5.392 2.668
Au 3.582 1.274 1.181
Au 3.582 5.006 4.361
Ag 1.194 0.656 4.395
Ag 3.582 4.134 1.629
Ag 3.582 3.188 -1.083
Ag 1.194 3.478 4.932
Ag 3.582 6.010 -0.546
Ag 1.194 2.532 2.219
Zn 1.194 4.444 0.000
Zn 3.582 2.222 3.849

=====

Computed size of the total moment (μB per formula unit) in order:
0.30, 0.00, 0.00